First-principles (meta-GGA SCAN) data for CaMo at its PBEsol-relaxed geometry, as listed in Alexandria via LeMat-Bulk.

```
CaMo
1.0
3.264 0.000 0.000
0.000 3.299 0.000
-1.632 0.000 9.059
Mo Ca
2 2
Direct
0.719 0.750 0.437
0.281 0.250 0.563
0.902 0.750 0.803
0.098 0.250 0.197
```

Properties
- energy of formation from the pure elements (eV per formula unit) = 0.87
- energy relative to the lowest polymorph listed for this composition (meV/atom) = 0
- magnetization (μB per formula unit) = 0.028
- SG = No. 63